Density functional theory data (PBE) for Pr2Ag2Ge3 after structural relaxation.

## Properties
ΔE_f ... -577 meV/atom
Space-group type ... No. 63

abc: 4.503 7.221 9.794
angles: 90.00 103.29 90.00
Fractional coordinates of all 14 atoms:
1 Pr 0.154 0.250 0.309
2 Pr 0.846 0.750 0.691
3 Pr 0.948 0.250 0.895
4 Pr 0.052 0.750 0.105
5 Ag 0.689 0.945 0.379
6 Ag 0.311 0.055 0.621
7 Ag 0.311 0.445 0.621
8 Ag 0.689 0.555 0.379
9 Ge 0.222 0.750 0.444
10 Ge 0.778 0.250 0.556
11 Ge 0.560 0.429 0.119
12 Ge 0.440 0.571 0.881
13 Ge 0.440 0.929 0.881
14 Ge 0.560 0.071 0.119



Density functional theory data (PBE) for Pr4AgGe3 after structural relaxation.

## Properties
ΔE_f ... -662 meV/atom
Space-group type ... No. 25

abc: 4.431 4.228 11.413
angles: 90.00 90.00 90.00
Fractional coordinates of all 8 atoms:
1 Pr 0.500 0.500 0.367
2 Pr 0.000 0.500 0.859
3 Pr 0.000 0.000 0.143
4 Pr 0.500 0.000 0.638
5 Ag 0.500 0.500 0.072
6 Ge 0.000 0.500 0.583
7 Ge 0.000 0.000 0.422
8 Ge 0.500 0.000 0.915



Density functional theory data (PBE) for Pr2Ag3Ge2 after structural relaxation.

## Properties
ΔE_f ... -354 meV/atom
Space-group type ... No. 65

abc: 4.216 3.883 10.179
angles: 101.00 90.00 90.00
Fractional coordinates of all 7 atoms:
1 Pr 0.000 0.837 0.674
2 Pr 0.000 0.163 0.326
3 Ag 0.500 0.567 0.135
4 Ag 0.500 0.433 0.865
5 Ag 0.000 0.000 0.000
6 Ge 0.500 0.709 0.418
7 Ge 0.500 0.291 0.582



Density functional theory data (PBE) for PrAgGe after structural relaxation.

## Properties
ΔE_f ... -545 meV/atom
Space-group type ... No. 156

abc: 3.916 4.555 4.555
angles: 120.00 90.00 90.00
Fractional coordinates of all 3 atoms:
1 Pr 0.666 0.333 0.667
2 Ge 0.168 0.000 0.000
3 Ag 0.166 0.667 0.333



Density functional theory data (PBE) for Pr7Ag2Ge2 after structural relaxation.

## Properties
ΔE_f ... -79 meV/atom
Space-group type ... No. 65

abc: 6.847 7.611 6.847
angles: 90.00 108.51 90.00
Fractional coordinates of all 11 atoms:
1 Pr 0.000 0.296 0.500
2 Pr 0.500 0.704 0.000
3 Pr 0.000 0.704 0.500
4 Pr 0.500 0.296 0.000
5 Pr 0.000 0.000 0.000
6 Pr 0.500 0.733 0.500
7 Pr 0.500 0.267 0.500
8 Ag 0.715 0.000 0.285
9 Ag 0.285 0.000 0.715
10 Ge 0.835 0.500 0.835
11 Ge 0.165 0.500 0.165



Density functional theory data (PBE) for PrAg2Ge2 after structural relaxation.

## Properties
ΔE_f ... -427 meV/atom
Space-group type ... No. 12

abc: 4.353 4.353 6.322
angles: 110.32 110.32 89.92
Fractional coordinates of all 5 atoms:
1 Pr 0.000 0.000 0.000
2 Ge 0.612 0.612 0.223
3 Ge 0.388 0.388 0.777
4 Ag 0.251 0.749 0.500
5 Ag 0.749 0.251 0.500



Density functional theory data (PBE) for PrAgGe after structural relaxation.

## Properties
ΔE_f ... -241 meV/atom
Space-group type ... No. 166

abc: 4.516 4.516 9.495
angles: 76.24 76.24 60.00
Fractional coordinates of all 6 atoms:
1 Ge 0.315 0.315 0.054
2 Ge 0.685 0.685 0.946
3 Ag 0.162 0.162 0.515
4 Ag 0.838 0.838 0.485
5 Pr 0.425 0.425 0.724
6 Pr 0.575 0.575 0.276



Density functional theory data (PBE) for Pr8Ag2Ge after structural relaxation.

## Properties
ΔE_f ... -188 meV/atom
Space-group type ... No. 12

abc: 5.306 7.242 9.792
angles: 108.83 105.72 90.00
Fractional coordinates of all 11 atoms:
1 Pr 0.409 0.540 0.818
2 Pr 0.668 0.991 0.335
3 Pr 0.800 0.668 0.600
4 Pr 0.981 0.220 0.962
5 Pr 0.200 0.332 0.400
6 Pr 0.332 0.009 0.665
7 Pr 0.591 0.460 0.182
8 Pr 0.019 0.780 0.038
9 Ag 0.827 0.275 0.654
10 Ag 0.173 0.725 0.346
11 Ge 0.500 0.000 0.000



Density functional theory data (PBE) for PrAg2Ge after structural relaxation.

## Properties
ΔE_f ... 331 meV/atom
Space-group type ... No. 166

abc: 3.159 3.159 10.826
angles: 81.61 81.61 60.00
Fractional coordinates of all 4 atoms:
1 Pr 0.000 0.000 0.000
2 Ge 0.500 0.500 0.500
3 Ag 0.096 0.096 0.712
4 Ag 0.904 0.904 0.288



Density functional theory data (PBE) for Pr4AgGe2 after structural relaxation.

## Properties
ΔE_f ... -407 meV/atom
Space-group type ... No. 166

abc: 5.117 5.117 9.615
angles: 74.57 74.57 60.00
Fractional coordinates of all 7 atoms:
1 Pr 0.379 0.379 0.862
2 Pr 0.207 0.207 0.379
3 Pr 0.793 0.793 0.621
4 Pr 0.621 0.621 0.138
5 Ag 0.000 0.000 0.000
6 Ge 0.094 0.094 0.718
7 Ge 0.906 0.906 0.282



Density functional theory data (PBE) for PrAg4Ge2 after structural relaxation.

## Properties
ΔE_f ... -267 meV/atom
Space-group type ... No. 65

abc: 4.239 4.260 8.087
angles: 105.27 90.00 90.00
Fractional coordinates of all 7 atoms:
1 Pr 0.000 0.000 0.000
2 Ge 0.500 0.579 0.158
3 Ge 0.500 0.421 0.842
4 Ag 0.500 0.817 0.634
5 Ag 0.000 0.685 0.369
6 Ag 0.500 0.183 0.366
7 Ag 0.000 0.315 0.631



Density functional theory data (PBE) for Pr6Ag5Ge after structural relaxation.

## Properties
ΔE_f ... -329 meV/atom
Space-group type ... No. 65

abc: 5.308 7.542 8.451
angles: 90.00 71.73 90.00
Fractional coordinates of all 12 atoms:
1 Pr 0.838 0.753 0.325
2 Pr 0.838 0.247 0.325
3 Pr 0.500 0.243 0.000
4 Pr 0.500 0.757 0.000
5 Pr 0.162 0.753 0.675
6 Pr 0.162 0.247 0.675
7 Ge 0.000 0.000 0.000
8 Ag 0.670 0.500 0.660
9 Ag 0.326 0.000 0.349
10 Ag 0.000 0.500 0.000
11 Ag 0.674 0.000 0.651
12 Ag 0.330 0.500 0.340



Repeat the fifth record exactly.
Density functional theory data (PBE) for Pr7Ag2Ge2 after structural relaxation.

## Properties
ΔE_f ... -79 meV/atom
Space-group type ... No. 65

abc: 6.847 7.611 6.847
angles: 90.00 108.51 90.00
Fractional coordinates of all 11 atoms:
1 Pr 0.000 0.296 0.500
2 Pr 0.500 0.704 0.000
3 Pr 0.000 0.704 0.500
4 Pr 0.500 0.296 0.000
5 Pr 0.000 0.000 0.000
6 Pr 0.500 0.733 0.500
7 Pr 0.500 0.267 0.500
8 Ag 0.715 0.000 0.285
9 Ag 0.285 0.000 0.715
10 Ge 0.835 0.500 0.835
11 Ge 0.165 0.500 0.165



ΔE_f of number 1 (Pr2Ag2Ge3)? -577 meV/atom



Repeat the fifth record exactly.
Density functional theory data (PBE) for Pr7Ag2Ge2 after structural relaxation.

## Properties
ΔE_f ... -79 meV/atom
Space-group type ... No. 65

abc: 6.847 7.611 6.847
angles: 90.00 108.51 90.00
Fractional coordinates of all 11 atoms:
1 Pr 0.000 0.296 0.500
2 Pr 0.500 0.704 0.000
3 Pr 0.000 0.704 0.500
4 Pr 0.500 0.296 0.000
5 Pr 0.000 0.000 0.000
6 Pr 0.500 0.733 0.500
7 Pr 0.500 0.267 0.500
8 Ag 0.715 0.000 0.285
9 Ag 0.285 0.000 0.715
10 Ge 0.835 0.500 0.835
11 Ge 0.165 0.500 0.165